1.
A relaxed Sc5AlCd2Pd2 crystal, computed with PBE.

Cell and atoms, written as extended XYZ:
```
20
Lattice="11.304 0.000 0.000 0.000 11.304 0.000 0.000 0.000 3.363" Properties=species:S:1:pos:R:3 pbc="T T T"
Sc 0.000 5.652 0.000
Sc 0.866 2.204 0.000
Sc 2.204 10.438 0.000
Sc 3.448 4.786 0.000
Sc 4.786 7.856 0.000
Sc 5.652 0.000 0.000
Sc 6.517 3.448 0.000
Sc 7.856 6.517 0.000
Sc 9.100 0.866 0.000
Sc 10.438 9.100 0.000
Al 0.000 0.000 1.682
Al 5.652 5.652 1.682
Cd 1.934 7.586 1.682
Cd 3.718 1.934 1.682
Cd 7.586 9.370 1.682
Cd 9.370 3.718 1.682
Pd 1.480 4.172 1.682
Pd 4.172 9.824 1.682
Pd 7.132 1.480 1.682
Pd 9.824 7.132 1.682
```

Properties
Its formation energy from the elements is -0.458 eV per atom. The electronic total energy is -5.220 eV per atom. For the density of states at the Fermi level, the calculation gives 9.09 states/eV/f.u.

***

2.
A relaxed MgCdAgRh crystal, computed with PBE.

Cell and atoms, written as extended XYZ:
```
4
Lattice="3.790 0.000 0.000 0.000 4.247 0.000 0.000 0.000 4.269" Properties=species:S:1:pos:R:3 pbc="T T T"
Mg 0.000 0.000 0.000
Cd 0.000 2.123 2.135
Ag 1.895 0.000 2.135
Rh 1.895 2.123 0.000
```

Properties
Its formation energy from the elements is -0.253 eV per atom. The electronic total energy is -3.431 eV per atom. The distance to the lowest polymorph of the same formula is 0.0 meV/atom. For the density of states at the Fermi level, the calculation gives 1.32 states/eV/f.u.